(1)
Crystalline La2AlFe at its relaxed geometry, computed with GGA-PBE.

a b c (Å): 4.5620 4.5620 7.4494
angles (deg): 106.63 106.63 48.29
Last column: nearest neighbours and their distance in Å.
Atoms (fractional coordinates):
La 0.0000 0.0000 0.0000  2 Fe 2.79, 1 Al 3.11
La 0.1528 0.1528 0.5409  2 Fe 2.77
Al 0.3713 0.3713 0.2700  3 Fe 2.48-2.51
Fe 0.6697 0.6697 0.2728  3 Al 2.48-2.51, 2 La 2.77

Computed properties:
E = -5.6371 eV/atom
SG = Cm, No. 8
N(E_F) = 4.0 states/eV/cell
ΔH_f (0 K) = -0.12 eV per atom

(2)
Crystalline LaAlFe at its relaxed geometry, computed with GGA-PBE.

a b c (Å): 6.1877 6.1877 6.1877
angles (deg): 150.38 150.38 42.39
Last column: nearest neighbours and their distance in Å.
Atoms (fractional coordinates):
La 0.0000 0.0000 0.0000  4 Fe 3.00, 1 Al 3.10, 4 La 3.16
Al 0.2684 0.2684 0.0000  4 Fe 2.49
Fe 0.6730 0.6730 0.0000  4 Al 2.49

Computed properties:
E = -5.7202 eV/atom
SG = I4mm, No. 107
N(E_F) = 2.9 states/eV/cell
ΔH_f (0 K) = -0.01 eV per atom

(3)
Crystalline LaAl2Fe at its relaxed geometry, computed with GGA-PBE.

a b c (Å): 9.4929 9.4929 9.4929
angles (deg): 18.65 18.65 18.65
Last column: nearest neighbours and their distance in Å.
Atoms (fractional coordinates):
La 0.0000 0.0000 0.0000  6 La 3.08, 6 Al 3.40
Al 0.2298 0.2298 0.2298  3 Fe 2.50
Al 0.7702 0.7702 0.7702  3 Fe 2.50
Fe 0.5000 0.5000 0.5000  6 Al 2.50

Computed properties:
E = -5.0613 eV/atom
SG = R-3m, No. 166
N(E_F) = 3.0 states/eV/cell
ΔH_f (0 K) = 0.16 eV per atom

(4)
Crystalline La2AlFe at its relaxed geometry, computed with GGA-PBE.

a b c (Å): 6.1427 6.1427 6.1427
angles (deg): 145.39 131.94 60.57
Last column: nearest neighbours and their distance in Å.
Atoms (fractional coordinates):
La 0.0000 0.0000 0.0000  2 Fe 3.20, 4 Al 3.25, 2 La 3.28
La 0.6998 0.1998 0.5000  4 Fe 3.14, 2 La 3.28, 2 Al 3.33
Al 0.4076 0.4076 0.0000  2 Fe 2.49
Fe 0.2479 0.7479 0.5000  2 Al 2.49

Computed properties:
E = -5.5600 eV/atom
SG = Imm2, No. 44
N(E_F) = 5.5 states/eV/cell
ΔH_f (0 K) = -0.04 eV per atom

(5)
Crystalline La2AlFe at its relaxed geometry, computed with GGA-PBE.

a b c (Å): 4.4363 6.2305 6.2305
angles (deg): 37.96 90.00 90.00
Last column: nearest neighbours and their distance in Å.
Atoms (fractional coordinates):
La 0.0000 0.0000 0.0000  2 Fe 3.04, 4 Al 3.16
La 0.5000 0.2857 0.2857  2 Al 3.12, 4 Fe 3.20
Al 0.5000 0.5839 0.5839  2 Fe 2.56
Fe 0.0000 0.6928 0.6928  2 Al 2.56

Computed properties:
E = -5.5603 eV/atom
SG = Amm2, No. 38
N(E_F) = 5.4 states/eV/cell
ΔH_f (0 K) = -0.05 eV per atom

(6)
Crystalline La2AlFe at its relaxed geometry, computed with GGA-PBE.

a b c (Å): 6.4783 6.4783 6.4783
angles (deg): 102.10 102.10 125.49
Last column: nearest neighbours and their distance in Å.
Atoms (fractional coordinates):
La 0.0565 0.6250 0.9315  2 Fe 2.62
La 0.3750 0.3065 0.4315  2 Fe 2.62
La 0.6935 0.1250 0.0685  2 Fe 2.62
La 0.8750 0.9435 0.5685  2 Fe 2.62
Al 0.2500 0.7500 0.5000  2 Fe 2.97
Al 0.5000 0.5000 0.0000  2 Fe 2.97
Fe 0.0000 0.0000 0.0000  4 La 2.62
Fe 0.7500 0.2500 0.5000  4 La 2.62

Computed properties:
E = -5.3004 eV/atom
SG = I-42d, No. 122
N(E_F) = 8.0 states/eV/cell
ΔH_f (0 K) = 0.21 eV per atom

(7)
Crystalline LaAl2Fe at its relaxed geometry, computed with GGA-PBE.

a b c (Å): 9.1489 9.1489 9.1489
angles (deg): 20.15 20.15 20.15
Last column: nearest neighbours and their distance in Å.
Atoms (fractional coordinates):
La 0.0000 0.0000 0.0000  3 Fe 2.91, 6 La 3.20
Al 0.2275 0.2275 0.2275  9 Al 2.86-3.20
Al 0.4796 0.4796 0.4796  3 Fe 2.50
Fe 0.7504 0.7504 0.7504  3 Al 2.50

Computed properties:
E = -4.9175 eV/atom
SG = R3m, No. 160
N(E_F) = 4.3 states/eV/cell
ΔH_f (0 K) = 0.30 eV per atom

(8)
Crystalline La2AlFe at its relaxed geometry, computed with GGA-PBE.

a b c (Å): 3.6785 3.6785 7.4671
angles (deg): 90.00 90.00 90.00
Last column: nearest neighbours and their distance in Å.
Atoms (fractional coordinates):
La 0.0000 0.0000 0.2296  4 Fe 3.12, 4 Al 3.29, 1 La 3.43
La 0.0000 0.0000 0.7704  4 Fe 3.12, 4 Al 3.29, 1 La 3.43
Al 0.5000 0.5000 0.5000  8 La 3.29, 4 Al 3.68
Fe 0.5000 0.5000 0.0000  8 La 3.12

Computed properties:
E = -5.4986 eV/atom
SG = P4/mmm, No. 123
N(E_F) = 6.7 states/eV/cell
ΔH_f (0 K) = 0.02 eV per atom